Entry from the Alexandria database: a geometry-optimized V2PbSeO8 structure (PBE with a Hubbard U). Values from VASP.

The structure in Quantum ESPRESSO input format:
```
&SYSTEM
  ibrav = 0, nat = 12, ntyp = 4
/
ATOMIC_SPECIES
V 50.94 V.upf
Pb 207.20 Pb.upf
Se 78.96 Se.upf
O 16.00 O.upf
CELL_PARAMETERS angstrom
-3.508 0.036 -3.917
2.144 -0.766 -4.740
-0.935 -7.290 0.684
ATOMIC_POSITIONS angstrom
V -1.071 -2.027 -5.377
V -1.228 -5.993 -2.595
Pb -0.467 -3.645 0.342
Se 0.000 0.000 0.000
O -2.853 -5.968 -3.364
O -1.100 -0.890 -6.685
O -1.371 -3.586 -5.923
O -0.928 -4.434 -2.049
O -1.199 -7.129 -1.288
O 0.059 -6.381 -3.788
O -2.358 -1.639 -4.184
O 0.554 -2.052 -4.608
```

Its space group is C2/m (12). As for the electronic total energy: -6.545 eV/atom. The value obtained for the density of states at the Fermi level is 0.000 states/eV/atom.